Entry 1:
Density functional theory data (PBE) for a relaxed structure of NdYAgAu.

## Properties
* energy above the most stable polymorph in this dataset: 0.000 eV/atom

Cell: 3.6484 3.6484 7.4757 Å, 90.00 90.00 90.00°
Positions (direct):
Nd 0.5000 0.5000 0.1119
Au 0.0000 0.0000 0.3759
Y 0.5000 0.5000 0.6010
Ag 0.0000 0.0000 0.8392


Entry 2:
Density functional theory data (PBE) for a relaxed structure of NdYAgAu.

## Properties
* energy above the most stable polymorph in this dataset: 0.017 eV/atom

Cell: 5.2064 5.2064 5.2064 Å, 60.00 60.00 60.00°
Positions (direct):
Nd 0.2500 0.2500 0.2500
Y 0.7500 0.7500 0.7500
Au 0.0000 0.0000 0.0000
Ag 0.5000 0.5000 0.5000


Entry 3:
Density functional theory data (PBE) for a relaxed structure of Nd2Zn3AgAu4.

Cell: 4.1664 4.1664 12.0765 Å, 90.00 90.00 90.00°
Positions (direct):
Zn 0.5000 0.0000 0.8669
Zn 0.0000 0.5000 0.1331
Zn 0.0000 0.0000 0.5000
Au 0.0000 0.5000 0.3450
Au 0.5000 0.0000 0.6550
Au 0.5000 0.5000 0.0000
Au 0.0000 0.0000 0.0000
Nd 0.0000 0.5000 0.7559
Nd 0.5000 0.0000 0.2441
Ag 0.5000 0.5000 0.5000


Entry 4:
Density functional theory data (PBE) for a relaxed structure of NdZnAgAu.

Cell: 4.9363 4.9363 4.9363 Å, 60.00 60.00 60.00°
Positions (direct):
Ag 0.2500 0.2500 0.2500
Au 0.0000 0.0000 0.0000
Nd 0.7500 0.7500 0.7500
Zn 0.5000 0.5000 0.5000


Entry 5:
Density functional theory data (PBE) for a relaxed structure of NdZn2AgAu2.

Cell: 4.5584 4.5584 6.6594 Å, 90.00 90.00 120.00°
Positions (direct):
Zn 0.6667 0.3333 0.3114
Zn 0.3333 0.6667 0.6886
Ag 0.0000 0.0000 0.5000
Au 0.6667 0.3333 0.7325
Au 0.3333 0.6667 0.2675
Nd 0.0000 0.0000 0.0000


Entry 6:
Density functional theory data (PBE) for a relaxed structure of NiAg2Au.

## Properties
* energy above the most stable polymorph in this dataset: 0.039 eV/atom

Cell: 2.8655 2.8655 7.8847 Å, 90.00 90.00 90.01°
Site moments in Bohr magnetons follow the coordinates.
Positions (direct):
Ag 0.0000 0.0000 0.5241  0.00
Ag 0.0000 0.0000 0.9759  0.00
Au 0.5000 0.5000 0.2500  0.00
Ni 0.5000 0.5000 0.7500  0.17


Entry 7:
Density functional theory data (PBE) for a relaxed structure of NiAgAu4.

## Properties
* energy above the most stable polymorph in this dataset: 0.000 eV/atom

Cell: 2.9351 2.9349 11.7559 Å, 90.00 90.00 90.00°
Site moments in Bohr magnetons follow the coordinates.
Positions (direct):
Ag 0.5000 0.5000 0.5000  0.00
Au 0.0001 0.0001 0.3230  0.00
Au 0.5000 0.5000 0.1431  0.00
Au 0.5000 0.5000 0.8569  0.00
Au 0.9999 0.9999 0.6770  0.00
Ni 0.0000 0.0000 0.0000  0.17


Entry 8:
Density functional theory data (PBE) for a relaxed structure of NiAg2Au.

## Properties
* energy above the most stable polymorph in this dataset: 0.039 eV/atom

Cell: 4.8331 4.8331 4.8331 Å, 129.90 129.90 73.57°
Positions (direct):
Ni 0.7500 0.2500 0.5000
Ag 0.2500 0.7500 0.5000
Ag 0.0000 0.0000 0.0000
Au 0.5000 0.5000 0.0000


no.,VASP energy (eV per atom),calculated formation energy (eV/atom)
1,-4.900,-0.5601
2,-4.883,-0.5432
3,-3.398,-0.4658
4,-3.438,-0.3953
5,-3.240,-0.4532
6,-3.556,0.1346
7,-3.612,0.0114
8,-3.556,0.1345